No. 1
# PmAg4Sb, relaxed, DFT PBE-GGA
# crystal system	cubic
# total DFT energy (no corrections)	-3.57	eV/atom
# DOS(E_F)	0.39	states/eV/atom
# energy relative to the elements, uncorrected	-190.8	meV per atom
# size of the total moment	0.00	μB/cell
data_PmAg4Sb
_chemical_formula_sum 'Pm4 Ag16 Sb4'
_cell_length_a 8.052
_cell_length_b 8.052
_cell_length_c 8.052
_cell_angle_alpha 90.00
_cell_angle_beta 90.00
_cell_angle_gamma 90.00
_space_group_name_H-M_alt 'F -4 3 m'
_space_group_IT_number 216
_space_group_name_Hall 'F -4 2 3'
loop_
_atom_site_label
_atom_site_type_symbol
_atom_site_fract_x
_atom_site_fract_y
_atom_site_fract_z
Pm1 Pm 0.000 0.000 0.000
Ag1 Ag 0.125 0.125 0.625
Sb1 Sb 0.250 0.250 0.250


No. 2
# Tb2NpRu3, relaxed, DFT PBE-GGA
# crystal system	orthorhombic
# total DFT energy (no corrections)	-8.29	eV/atom
# DOS(E_F)	1.12	states/eV/atom
# ΔH_f (0 K)	0.050	eV/atom
# size of the total moment	3.10	μB/cell
# energy above the most stable polymorph in this dataset	41.4	kJ per mole of atoms
data_Tb2NpRu3
_chemical_formula_sum 'Tb4 Np2 Ru6'
_cell_length_a 3.288
_cell_length_b 5.591
_cell_length_c 13.687
_cell_angle_alpha 90.00
_cell_angle_beta 90.00
_cell_angle_gamma 90.00
_space_group_name_H-M_alt 'I m m m'
_space_group_IT_number 71
_space_group_name_Hall '-I 2 2'
loop_
_atom_site_label
_atom_site_type_symbol
_atom_site_fract_x
_atom_site_fract_y
_atom_site_fract_z
Tb1 Tb 0.000 0.000 0.168
Np1 Np 0.000 0.000 0.500
Ru1 Ru 0.000 0.500 0.144
Ru2 Ru 0.000 0.500 0.500


What is the DOS(E_F) in the second record? 1.12 states/eV/atom


size of the total moment of number 1 (PmAg4Sb)? 0.00 μB/cell


DOS(E_F) of number 2 (Tb2NpRu3)? 1.12 states/eV/atom


Look up the size of the total moment of the second one. 3.10 μB/cell